(1)
Computed, not measured: a relaxed Tl3Os crystal at the PBE-GGA level of DFT.

Calculated values
**Energy above the most stable polymorph in this dataset**: 1.082 eV per formula unit
**E_form**: 0.71 eV per atom
**Calculated volume**: 96.57 Å³ per cell
**Energy**: -3.875 eV/atom

Cell lengths 3.2422, 3.2422, 10.6077 Å; angles 90.00, 90.00, 120.00 degrees
Space group P-6m2 (No. 187)
Asymmetric unit:
1 Tl 0.0000 0.0000 0.0000 x1
2 Tl 0.6667 0.3333 0.2921 x2
3 Os 0.0000 0.0000 0.5000 x1



(2)
Computed, not measured: a relaxed TlOs crystal at the PBE-GGA level of DFT.

Calculated values
**Energy above the most stable polymorph in this dataset**: 0.208 eV per formula unit
**E_form**: 0.71 eV per atom
**Calculated volume**: 272.68 Å³ per cell
**Energy**: -6.091 eV/atom

Cell lengths 10.179, 2.882, 9.594 Å; angles 90.00, 104.32, 90.00 degrees
Space group Cm (No. 8)
Asymmetric unit:
1 Tl 0.000 0.000 0.000 x2
2 Tl 0.114 0.500 0.452 x2
3 Tl 0.306 0.000 0.227 x2
4 Os 0.089 0.500 0.758 x2
5 Os 0.301 0.000 0.756 x2
6 Os 0.406 0.500 0.590 x2